(1)
VASP calculation (PBE-GGA) on a geometry-optimized TlPd structure.

Summary:
E_tot: -7.58 eV per cell

Cell lengths 3.948, 3.948, 3.948 Å; angles 60.00, 60.00, 60.00 degrees
Sites, in units of the cell vectors:
Tl (0.000, 0.000, 0.000)
Pd (0.500, 0.500, 0.500)

(2)
VASP calculation (PBE-GGA) on a geometry-optimized Tl2Pd9 structure.

Summary:
E_tot: -49.96 eV per cell

Cell lengths 2.909, 2.909, 36.236 Å; angles 90.00, 90.00, 120.00 degrees
Sites, in units of the cell vectors:
Tl (0.333, 0.667, 0.307)
Tl (0.667, 0.333, 0.693)
Pd (0.000, 0.000, 0.000)
Pd (0.000, 0.000, 0.179)
Pd (0.000, 0.000, 0.821)
Pd (0.333, 0.667, 0.119)
Pd (0.333, 0.667, 0.760)
Pd (0.333, 0.667, 0.941)
Pd (0.667, 0.333, 0.059)
Pd (0.667, 0.333, 0.240)
Pd (0.667, 0.333, 0.881)

(3)
VASP calculation (PBE-GGA) on a geometry-optimized TlPd7 structure.

Summary:
E_tot: -76.44 eV per cell
Distance to the lowest polymorph of the same formula: 31.8 meV per atom

Cell lengths 2.852, 2.852, 42.074 Å; angles 90.00, 90.00, 90.00 degrees
Sites, in units of the cell vectors:
Tl (0.250, 0.250, 0.155)
Tl (0.750, 0.750, 0.845)
Pd (0.250, 0.250, 0.254)
Pd (0.250, 0.250, 0.344)
Pd (0.250, 0.250, 0.433)
Pd (0.250, 0.250, 0.522)
Pd (0.250, 0.250, 0.611)
Pd (0.250, 0.250, 0.700)
Pd (0.250, 0.250, 0.792)
Pd (0.750, 0.750, 0.208)
Pd (0.750, 0.750, 0.300)
Pd (0.750, 0.750, 0.389)
Pd (0.750, 0.750, 0.478)
Pd (0.750, 0.750, 0.567)
Pd (0.750, 0.750, 0.656)
Pd (0.750, 0.750, 0.746)